(1)
First-principles (PBE-GGA) data for an optimized crystal structure of Sr2CaTa, as listed in Alexandria.

a b c (Å): 3.4933 3.4933 11.4841
angles (deg): 90.00 90.00 90.00
Space group P4/mmm (No. 123)
Symmetry-distinct sites (fractional):
Sr 0.0000 0.0000 0.2068 (multiplicity 2)
Ca 0.5000 0.5000 0.5000 (multiplicity 1)
Ta 0.5000 0.5000 0.0000 (multiplicity 1)

Results
Uncorrected energy in eV per atom: -3.571
Density of states at the Fermi level in states/eV/atom: 1.758
ΔE_f in eV/atom: 0.73
Total magnetic moment in μB per formula unit: 0.0
Energy above the lowest structure with this stoichiometry in meV/atom: 30

***

(2)
First-principles (PBE-GGA) data for an optimized crystal structure of Sr2CaTa, as listed in Alexandria.

a b c (Å): 12.6465 3.5879 6.3816
angles (deg): 90.00 104.70 90.00
Space group C2/m (No. 12)
Symmetry-distinct sites (fractional):
Sr 0.2235 0.0000 0.2228 (multiplicity 4)
Ca 0.0000 0.0000 0.5000 (multiplicity 2)
Ta 0.0000 0.5000 0.0000 (multiplicity 2)

Results
Uncorrected energy in eV per atom: -3.450
Density of states at the Fermi level in states/eV/atom: 1.200
ΔE_f in eV/atom: 0.85
Total magnetic moment in μB per formula unit: 1.3
Energy above the lowest structure with this stoichiometry in meV/atom: 150